## Tb6YTm2Sc (GGA-PBE)

Data for Tb6YTm2Sc after structural relaxation.

a = 9.357 Å, b = 8.706 Å, c = 8.706 Å
α = 117.58°, β = 93.48°, γ = 93.48°
Fractional coordinates of all 20 atoms:
Tb 0.554 0.757 0.127
Tb 0.616 0.494 0.710
Tb 0.810 0.437 0.995
Tb 0.384 0.506 0.290
Tb 0.310 0.995 0.437
Tb 0.446 0.243 0.873
Tb 0.884 0.290 0.506
Tb 0.054 0.127 0.757
Tb 0.116 0.710 0.494
Tb 0.946 0.873 0.243
Tb 0.190 0.563 0.005
Tb 0.690 0.005 0.563
Sc 0.250 0.415 0.585
Sc 0.750 0.585 0.415
Tm 0.547 0.202 0.308
Tm 0.047 0.308 0.202
Tm 0.453 0.798 0.692
Tm 0.953 0.692 0.798
Y 0.250 0.977 0.023
Y 0.750 0.023 0.977

Values from the calculation:
The value obtained for the calculated volume is 624 Å³/cell. As for the symmetry: C2/c, No. 15. The total DFT energy (no corrections) is -4.827 eV per atom.

## LiHfSn2 (GGA-PBE)

Data for LiHfSn2 after structural relaxation.

a = 3.255 Å, b = 3.255 Å, c = 9.850 Å
α = 80.49°, β = 80.49°, γ = 60.00°
Fractional coordinates of all 4 atoms:
Li 0.000 0.000 0.000
Hf 0.500 0.500 0.500
Sn 0.747 0.747 0.758
Sn 0.253 0.253 0.242

Values from the calculation:
The value obtained for the calculated volume is 89 Å³/cell. As for the symmetry: R-3m, No. 166. The total DFT energy (no corrections) is -5.229 eV per atom. The excess energy over the best structure of this formula in the dataset comes out at 0 meV/atom.

## Ac2Ni2Hg (GGA-PBE)

Data for Ac2Ni2Hg after structural relaxation.

a = 4.091 Å, b = 4.153 Å, c = 7.768 Å
α = 105.51°, β = 90.00°, γ = 90.00°
Fractional coordinates of all 5 atoms:
Ni 0.000 0.208 0.416
Ni 0.000 0.792 0.584
Hg 0.000 0.000 0.000
Ac 0.500 0.635 0.270
Ac 0.500 0.365 0.730

Values from the calculation:
The value obtained for the calculated volume is 127 Å³/cell. As for the symmetry: Cmmm, No. 65. The total DFT energy (no corrections) is -4.400 eV per atom. The excess energy over the best structure of this formula in the dataset comes out at 0 meV/atom.